This record from Alexandria via LeMat-Bulk describes an optimized crystal structure of HoErTm5Sc2. The functional is GGA-PBE.

Geometry as POSCAR:
```
HoErTm5Sc2
1.0
2.757 -10.552 0.000
2.757 10.552 0.000
0.000 0.000 9.227
Ho Er Tm Sc
2 2 10 4
Direct
0.186 0.814 0.500 Ho
0.814 0.186 0.000 Ho
0.402 0.598 0.903 Er
0.598 0.402 0.403 Er
0.011 0.989 0.498 Tm
0.264 0.736 0.819 Tm
0.307 0.693 0.202 Tm
0.392 0.608 0.530 Tm
0.469 0.531 0.231 Tm
0.531 0.469 0.731 Tm
0.608 0.392 0.030 Tm
0.693 0.307 0.702 Tm
0.736 0.264 0.319 Tm
0.989 0.011 0.998 Tm
0.113 0.887 0.806 Sc
0.136 0.864 0.182 Sc
0.864 0.136 0.682 Sc
0.887 0.113 0.306 Sc
```

## Properties
space-group type	Cmc2_1
crystal system	orthorhombic
energy of formation from the pure elements	171.3	meV per atom
VASP energy	-0.3481	Ry per atom